(1)
! CsGe3Se | the Alexandria database | PBE | optimized geometry; values from VASP
! Fermi-level density of states: 2.116 states/eV/atom
! M_tot: 0.46 μB/cell
! ΔE to the lowest computed polymorph: 1464.2 meV/atom
! Crystal system: cubic
&SYSTEM
  ibrav = 0, nat = 5, ntyp = 3
/
ATOMIC_SPECIES
Cs 132.91 Cs.upf
Ge 72.64 Ge.upf
Se 78.96 Se.upf
CELL_PARAMETERS angstrom
5.788 0.000 0.000
0.000 5.788 0.000
0.000 0.000 5.788
ATOMIC_POSITIONS angstrom
Cs 0.000 0.000 0.000
Ge 0.000 0.000 2.894
Ge 0.000 2.894 0.000
Ge 2.894 0.000 0.000
Se 2.894 2.894 2.894

---

(2)
! Cs3GeSe | the Alexandria database | PBE | optimized geometry; values from VASP
! Fermi-level density of states: 0.000 states/eV/atom
! M_tot: 3.00 μB/cell
! ΔE to the lowest computed polymorph: 0.0 meV/atom
! Crystal system: cubic
&SYSTEM
  ibrav = 0, nat = 5, ntyp = 3
/
ATOMIC_SPECIES
Cs 132.91 Cs.upf
Ge 72.64 Ge.upf
Se 78.96 Se.upf
CELL_PARAMETERS angstrom
6.933 0.000 0.000
0.000 6.933 0.000
0.000 0.000 6.933
ATOMIC_POSITIONS angstrom
Cs 0.000 0.000 3.466
Cs 0.000 3.466 0.000
Cs 3.466 0.000 0.000
Ge 3.466 3.466 3.466
Se 0.000 0.000 0.000

---

(3)
! CsGe2Se3 | the Alexandria database | PBE | optimized geometry; values from VASP
! Fermi-level density of states: 0.244 states/eV/atom
! M_tot: 0.00 μB/cell
! Crystal system: orthorhombic
! E_tot: -3.90 eV/atom
&SYSTEM
  ibrav = 0, nat = 12, ntyp = 3
/
ATOMIC_SPECIES
Cs 132.91 Cs.upf
Ge 72.64 Ge.upf
Se 78.96 Se.upf
CELL_PARAMETERS angstrom
3.798 0.000 0.000
0.000 11.945 0.000
0.000 0.000 8.216
ATOMIC_POSITIONS angstrom
Cs 0.000 1.626 0.000
Cs 0.000 10.319 4.108
Ge 0.000 2.962 4.141
Ge 0.000 8.983 0.033
Ge 1.899 5.786 0.686
Ge 1.899 6.159 4.794
Se 0.000 4.805 5.945
Se 0.000 7.140 1.837
Se 1.899 1.427 5.058
Se 1.899 3.824 2.295
Se 1.899 8.121 6.403
Se 1.899 10.518 0.950

---

(4)
! Cs2GeSe3 | the Alexandria database | PBE | optimized geometry; values from VASP
! Fermi-level density of states: 0.000 states/eV/atom
! M_tot: 0.00 μB/cell
! Crystal system: monoclinic
! E_tot: -3.72 eV/atom
&SYSTEM
  ibrav = 0, nat = 12, ntyp = 3
/
ATOMIC_SPECIES
Cs 132.91 Cs.upf
Ge 72.64 Ge.upf
Se 78.96 Se.upf
CELL_PARAMETERS angstrom
7.372 -3.773 0.000
7.372 3.773 0.000
-6.197 0.000 8.755
ATOMIC_POSITIONS angstrom
Cs -1.020 0.000 3.224
Cs 3.404 0.000 1.569
Cs 5.144 0.000 7.186
Cs 9.568 0.000 5.531
Ge 0.573 0.000 7.185
Ge 7.975 0.000 1.569
Se -1.727 0.000 6.794
Se 7.372 1.816 0.000
Se 1.978 0.000 5.328
Se 6.570 0.000 3.427
Se 7.372 -1.816 0.000
Se 10.275 0.000 1.961

---

(5)
! Cs2GeSe4 | the Alexandria database | PBE | optimized geometry; values from VASP
! Fermi-level density of states: 0.000 states/eV/atom
! M_tot: 0.00 μB/cell
! Crystal system: monoclinic
! E_tot: -3.70 eV/atom
&SYSTEM
  ibrav = 0, nat = 14, ntyp = 3
/
ATOMIC_SPECIES
Cs 132.91 Cs.upf
Ge 72.64 Ge.upf
Se 78.96 Se.upf
CELL_PARAMETERS angstrom
7.852 -3.911 0.000
7.852 3.911 0.000
-5.467 0.000 8.923
ATOMIC_POSITIONS angstrom
Cs -0.473 0.000 3.239
Cs 4.240 0.000 1.851
Cs 5.997 0.000 7.072
Cs 10.710 0.000 5.684
Ge 1.065 0.000 7.087
Ge 9.173 0.000 1.836
Se 1.237 1.937 8.582
Se -1.259 0.000 6.853
Se 9.000 1.937 0.341
Se 2.618 0.000 5.371
Se 7.619 0.000 3.552
Se 1.237 -1.937 8.582
Se 11.497 0.000 2.070
Se 9.000 -1.937 0.341

---

(6)
! Cs2Ge2Se3 | the Alexandria database | PBE | optimized geometry; values from VASP
! M_tot: 0.00 μB/cell
! Crystal system: triclinic
! E_tot: -3.60 eV/atom
&SYSTEM
  ibrav = 0, nat = 7, ntyp = 3
/
ATOMIC_SPECIES
Cs 132.91 Cs.upf
Ge 72.64 Ge.upf
Se 78.96 Se.upf
CELL_PARAMETERS angstrom
4.287 0.000 0.000
2.142 6.809 0.000
0.015 1.927 8.625
ATOMIC_POSITIONS angstrom
Cs 1.075 2.542 3.192
Cs 5.369 6.194 5.433
Ge 3.209 5.335 0.458
Ge 3.236 3.401 8.167
Se 1.071 3.405 0.000
Se 1.085 1.725 6.889
Se 5.360 7.011 1.736

---

(7)
! CsGeSe3 | the Alexandria database | PBE | optimized geometry; values from VASP
! Fermi-level density of states: 1.077 states/eV/atom
! M_tot: 0.00 μB/cell
! Crystal system: cubic
! E_tot: -3.42 eV/atom
&SYSTEM
  ibrav = 0, nat = 5, ntyp = 3
/
ATOMIC_SPECIES
Cs 132.91 Cs.upf
Ge 72.64 Ge.upf
Se 78.96 Se.upf
CELL_PARAMETERS angstrom
5.258 0.000 0.000
0.000 5.258 0.000
0.000 0.000 5.258
ATOMIC_POSITIONS angstrom
Cs 0.000 0.000 0.000
Ge 2.629 2.629 2.629
Se 0.000 2.629 2.629
Se 2.629 0.000 2.629
Se 2.629 2.629 0.000

---

(8)
! CsGe6Se8 | the Alexandria database | PBE | optimized geometry; values from VASP
! Fermi-level density of states: 0.338 states/eV/atom
! M_tot: 0.00 μB/cell
! Crystal system: trigonal
! E_tot: -4.04 eV/atom
&SYSTEM
  ibrav = 0, nat = 15, ntyp = 3
/
ATOMIC_SPECIES
Cs 132.91 Cs.upf
Ge 72.64 Ge.upf
Se 78.96 Se.upf
CELL_PARAMETERS angstrom
5.800 3.349 4.540
-5.800 3.349 4.540
0.000 -6.698 4.540
ATOMIC_POSITIONS angstrom
Cs 0.000 0.000 0.000
Ge -2.317 -0.412 5.415
Ge -0.802 -2.213 8.204
Ge 1.516 -1.801 5.415
Ge -1.516 1.801 8.204
Ge 0.802 2.213 5.415
Ge 2.317 0.412 8.204
Se -2.058 -2.876 5.760
Se -3.520 0.344 7.859
Se 0.000 0.000 4.397
Se -1.462 3.220 5.760
Se 1.462 -3.220 7.859
Se 0.000 0.000 9.221
Se 3.520 -0.344 5.760
Se 2.058 2.876 7.858

---

(9)
! Cs2GeSe3 | the Alexandria database | PBE | optimized geometry; values from VASP
! M_tot: 0.00 μB/cell
! Crystal system: monoclinic
! E_tot: -3.61 eV/atom
&SYSTEM
  ibrav = 0, nat = 12, ntyp = 3
/
ATOMIC_SPECIES
Cs 132.91 Cs.upf
Ge 72.64 Ge.upf
Se 78.96 Se.upf
CELL_PARAMETERS angstrom
6.765 -4.624 0.000
6.765 4.624 0.000
-1.280 0.000 7.254
ATOMIC_POSITIONS angstrom
Cs 1.902 1.462 1.418
Cs 1.263 -1.462 5.044
Cs 10.989 1.462 2.209
Cs 10.349 -1.462 5.836
Ge 6.446 0.733 1.813
Ge 5.806 -0.733 5.440
Se 6.446 3.084 1.813
Se 4.416 0.325 3.804
Se 5.056 -0.325 0.177
Se 7.196 0.325 7.077
Se 7.836 -0.325 3.450
Se 5.806 -3.084 5.440

---

(10)
! Cs2Ge2Se5 | the Alexandria database | PBE | optimized geometry; values from VASP
! Fermi-level density of states: 0.318 states/eV/atom
! M_tot: 0.00 μB/cell
! ΔE to the lowest computed polymorph: 123.7 meV/atom
! Crystal system: monoclinic
&SYSTEM
  ibrav = 0, nat = 9, ntyp = 3
/
ATOMIC_SPECIES
Cs 132.91 Cs.upf
Ge 72.64 Ge.upf
Se 78.96 Se.upf
CELL_PARAMETERS angstrom
6.671 -2.507 0.000
6.671 2.507 0.000
-2.437 0.000 9.423
ATOMIC_POSITIONS angstrom
Cs 0.380 0.000 3.210
Cs 10.525 0.000 6.213
Ge 4.237 0.000 1.023
Ge 6.668 0.000 8.400
Se -0.457 0.000 9.248
Se 4.187 0.000 3.340
Se 6.671 0.000 0.000
Se 6.718 0.000 6.083
Se 11.362 0.000 0.175

---

(11)
! Cs5GeSe4 | the Alexandria database | PBE | optimized geometry; values from VASP
! Fermi-level density of states: 0.460 states/eV/atom
! M_tot: 0.00 μB/cell
! Crystal system: orthorhombic
! E_tot: -3.19 eV/atom
&SYSTEM
  ibrav = 0, nat = 20, ntyp = 3
/
ATOMIC_SPECIES
Cs 132.91 Cs.upf
Ge 72.64 Ge.upf
Se 78.96 Se.upf
CELL_PARAMETERS angstrom
10.240 0.000 0.000
0.000 11.005 0.000
0.000 0.000 8.591
ATOMIC_POSITIONS angstrom
Cs 0.107 0.634 2.007
Cs 0.107 4.869 2.007
Cs 2.560 8.254 3.132
Cs 5.013 0.634 2.007
Cs 5.013 4.869 2.007
Cs 5.227 6.137 6.584
Cs 5.227 10.371 6.584
Cs 7.680 2.751 5.459
Cs 10.134 6.137 6.584
Cs 10.134 10.371 6.584
Ge 2.560 2.751 6.104
Ge 7.680 8.254 2.486
Se 0.425 2.751 7.542
Se 2.560 0.621 4.644
Se 2.560 4.882 4.644
Se 4.695 2.751 7.542
Se 5.545 8.254 1.049
Se 7.680 6.123 3.947
Se 7.680 10.384 3.947
Se 9.815 8.254 1.049

---

(12)
! CsGeSe3 | the Alexandria database | PBE | optimized geometry; values from VASP
! Fermi-level density of states: 0.430 states/eV/atom
! M_tot: 0.00 μB/cell
! Crystal system: monoclinic
! E_tot: -3.61 eV/atom
&SYSTEM
  ibrav = 0, nat = 10, ntyp = 3
/
ATOMIC_SPECIES
Cs 132.91 Cs.upf
Ge 72.64 Ge.upf
Se 78.96 Se.upf
CELL_PARAMETERS angstrom
8.575 -2.915 0.000
8.575 2.915 0.000
-1.295 0.000 6.674
ATOMIC_POSITIONS angstrom
Cs 3.459 0.000 1.565
Cs 12.395 0.000 5.109
Ge 8.575 0.000 0.000
Ge 7.927 0.000 3.337
Se 6.956 1.561 1.407
Se 8.898 1.561 5.266
Se 5.708 0.000 4.591
Se 10.146 0.000 2.082
Se 6.956 -1.561 1.407
Se 8.898 -1.561 5.266

---

M_tot of number 4 (Cs2GeSe3)? 0.00 μB/cell

---

What did the third record say?
! CsGe2Se3 | the Alexandria database | PBE | optimized geometry; values from VASP
! Fermi-level density of states: 0.244 states/eV/atom
! M_tot: 0.00 μB/cell
! Crystal system: orthorhombic
! E_tot: -3.90 eV/atom
&SYSTEM
  ibrav = 0, nat = 12, ntyp = 3
/
ATOMIC_SPECIES
Cs 132.91 Cs.upf
Ge 72.64 Ge.upf
Se 78.96 Se.upf
CELL_PARAMETERS angstrom
3.798 0.000 0.000
0.000 11.945 0.000
0.000 0.000 8.216
ATOMIC_POSITIONS angstrom
Cs 0.000 1.626 0.000
Cs 0.000 10.319 4.108
Ge 0.000 2.962 4.141
Ge 0.000 8.983 0.033
Ge 1.899 5.786 0.686
Ge 1.899 6.159 4.794
Se 0.000 4.805 5.945
Se 0.000 7.140 1.837
Se 1.899 1.427 5.058
Se 1.899 3.824 2.295
Se 1.899 8.121 6.403
Se 1.899 10.518 0.950